(1)
DFT (PBE-GGA) results for Sr2BeSnO after structural relaxation.

a b c (Å): 6.293 3.188 6.293
angles (deg): 90.00 90.00 90.00
Atoms (fractional coordinates):
Be1 0.000 0.000 0.000
Sn1 0.500 0.500 0.500
Sr1 0.000 0.000 0.500
O1 0.000 0.500 0.000
Sr2 0.500 0.000 0.000

total energy: -0.2843 Ry/atom
SG: P4/mmm
ρ: 4.195 g/cm3


(2)
DFT (PBE-GGA) results for Sr3Be2SnO6 after structural relaxation.

a b c (Å): 5.667 5.667 6.906
angles (deg): 90.00 90.00 120.00
Atoms (fractional coordinates):
O1 0.646 0.823 0.258
Be1 0.333 0.667 0.249
Sr1 0.667 0.333 0.290
Sn1 0.000 0.000 0.500
O2 0.354 0.177 0.742
O3 0.177 0.354 0.258
Be2 0.667 0.333 0.751
O4 0.823 0.177 0.742
Sr2 0.333 0.667 0.710
Sr3 0.000 0.000 0.000
O5 0.177 0.823 0.258
O6 0.823 0.646 0.742

total energy: -0.4489 Ry/atom
SG: P-3m1
ρ: 4.284 g/cm3


(3)
DFT (PBE-GGA) results for TbBe4Sn3O12 after structural relaxation.

a b c (Å): 6.421 6.421 6.421
angles (deg): 104.90 104.90 104.90
Site moments in Bohr magnetons follow the coordinates.
Atoms (fractional coordinates):
O1 0.907 0.500 0.093  0.11
Sn1 0.448 0.000 0.552  -0.01
Be1 0.500 0.942 0.058  0.00
Be2 0.942 0.058 0.500  0.00
Sn2 0.000 0.552 0.448  -0.01
Be3 0.500 0.500 0.500  0.00
O2 0.349 0.651 0.500  0.04
Tb1 0.000 0.000 0.000  -0.01
O3 0.649 0.789 0.030  0.09
O4 0.093 0.907 0.500  0.11
O5 0.651 0.500 0.349  0.04
Be4 0.058 0.500 0.942  0.00
O6 0.351 0.970 0.211  0.09
O7 0.211 0.351 0.970  0.09
O8 0.500 0.093 0.907  0.11
Sn3 0.552 0.448 0.000  -0.01
O9 0.970 0.211 0.351  0.09
O10 0.030 0.649 0.789  0.09
O11 0.500 0.349 0.651  0.04
O12 0.789 0.030 0.649  0.09

total energy: -0.4919 Ry/atom
SG: R32
ρ: 5.320 g/cm3